Entry 1:
{"formula": "CoPWCl2", "functional": "PBE-GGA", "state": "optimized geometry", "e_form_raw_mev_per_atom": 1031, "e_above_lowest_polymorph_ev_per_atom": 0.200, "space_group": "P4/mmm (123)", "lattice_angstrom": [[-2.790, -3.054, 1.148], [2.604, -1.174, 3.204], [-2.257, 3.190, 3.003]], "species": ["P", "Co", "W", "Cl", "Cl"], "frac_coords": [[0.000, 0.000, 0.500], [0.000, 0.000, 0.000], [0.500, 0.500, 0.500], [0.000, 0.500, 0.000], [0.500, 0.000, 0.000]]}



Entry 2:
{"formula": "ZnCr3B", "functional": "PBE-GGA", "state": "optimized geometry", "delta_e_f_ev_per_atom": 2.42, "e_above_lowest_polymorph_ev_per_atom": 2.100, "space_group": "Pm-3m (221)", "lattice_angstrom": [[-2.166, -0.297, 3.651], [-3.632, -0.377, -2.185], [0.476, -4.228, -0.061]], "species": ["Cr", "Cr", "Cr", "Zn", "B"], "frac_coords": [[0.000, 0.500, 0.000], [0.000, 0.000, 0.500], [0.500, 0.000, 0.000], [0.000, 0.000, 0.000], [0.500, 0.500, 0.500]]}



Entry 3:
{"formula": "Sm4CSe2S", "functional": "PBE-GGA", "state": "optimized geometry", "e_form_raw_mev_per_atom": -1540, "space_group": "P2/m (10)", "lattice_angstrom": [[3.960, 0.000, 0.000], [0.000, 6.943, 0.138], [0.000, -2.405, 6.701]], "species": ["Sm", "Sm", "Sm", "Sm", "C", "Se", "Se", "S"], "frac_coords": [[0.500, 0.218, 0.212], [0.500, 0.782, 0.788], [0.000, 0.236, 0.781], [0.000, 0.764, 0.219], [0.000, 0.000, 0.000], [0.500, 0.000, 0.500], [0.000, 0.500, 0.500], [0.500, 0.500, 0.000]]}



| no. | uncorrected energy (eV/atom) | total moment (μB per atom) |
| --- | --- | --- |
| 1 | -4.801 | 0.556 |
| 2 | -4.945 | 0.001 |
| 3 | -6.440 | 0.000 |